# Pu6VO12

A relaxed structure of Pu6VO12 (PBE with a Hubbard U, the Alexandria database).

Cell: 6.546 6.546 6.546 Å, 99.24 99.24 99.24°
Sites, in units of the cell vectors:
Pu  0.098  0.789  0.633
Pu  0.211  0.367  0.902
Pu  0.367  0.902  0.211
Pu  0.633  0.098  0.789
Pu  0.789  0.633  0.098
Pu  0.902  0.211  0.367
V  0.500  0.500  0.500
O  0.063  0.911  0.323
O  0.089  0.677  0.937
O  0.192  0.439  0.555
O  0.323  0.063  0.911
O  0.439  0.555  0.192
O  0.445  0.808  0.561
O  0.555  0.192  0.439
O  0.561  0.445  0.808
O  0.677  0.937  0.089
O  0.808  0.561  0.445
O  0.911  0.323  0.063
O  0.937  0.089  0.677

Output
VASP energy	-209.05	eV for the cell shown
magnetization	29.00	μB/cell
DOS(E_F)	1.5526	states/eV/atom